{"formula": "BeNi2Hg", "functional": "PBE", "state": "optimized geometry", "cell": [[4.4774, -0.0669, 0.0000], [1.4024, 4.2526, 0.0000], [-2.9399, -2.0929, 2.6511]], "species": ["Ni", "Ni", "Hg", "Be"], "fractional_positions": [[0.0000, 0.0000, 0.0000], [0.2500, 0.7500, 0.5000], [0.7500, 0.2500, 0.5000], [0.5000, 0.5000, 0.0000]], "delta_e_f_mev_per_atom": 165, "crystal_system": "tetragonal", "mass_density_g_cm3": 10.70, "final_energy_ev_per_atom": -3.732, "polymorph_energy_mev_per_atom": 203, "space_group": "I-4m2 (119)"}

---

{"formula": "BeNi3Hg", "functional": "PBE", "state": "optimized geometry", "cell": [[4.6946, 0.0000, 0.0000], [0.0000, 4.6946, 0.0000], [0.0000, 0.0000, 4.6946]], "species": ["Ni", "Ni", "Ni", "Hg", "Be"], "fractional_positions": [[0.0000, 0.5000, 0.0000], [0.0000, 0.0000, 0.5000], [0.5000, 0.0000, 0.0000], [0.0000, 0.0000, 0.0000], [0.5000, 0.5000, 0.5000]], "delta_e_f_mev_per_atom": 1688, "crystal_system": "cubic", "mass_density_g_cm3": 6.19, "final_energy_ev_per_atom": -2.586, "polymorph_energy_mev_per_atom": 1447, "space_group": "Pm-3m (221)"}

---

{"formula": "BeNi4Hg", "functional": "PBE", "state": "optimized geometry", "cell": [[0.0000, 3.3587, 3.3587], [3.3587, 0.0000, 3.3587], [3.3587, 3.3587, 0.0000]], "species": ["Be", "Ni", "Ni", "Ni", "Ni", "Hg"], "fractional_positions": [[0.7500, 0.7500, 0.7500], [0.8730, 0.3757, 0.3757], [0.3757, 0.3757, 0.8730], [0.3757, 0.8730, 0.3757], [0.3757, 0.3757, 0.3757], [0.0000, 0.0000, 0.0000]], "delta_e_f_mev_per_atom": 233, "crystal_system": "cubic", "mass_density_g_cm3": 9.74, "final_energy_ev_per_atom": -4.293, "space_group": "F-43m (216)"}

---

{"formula": "BeNi2Hg2", "functional": "PBE", "state": "optimized geometry", "cell": [[6.6638, 0.0000, 0.0000], [0.0000, 6.6638, 0.0000], [0.0000, 0.0000, 3.5623]], "species": ["Ni", "Ni", "Ni", "Ni", "Hg", "Hg", "Hg", "Hg", "Be", "Be"], "fractional_positions": [[0.1410, 0.6410, 0.5000], [0.6410, 0.8590, 0.5000], [0.8590, 0.3590, 0.5000], [0.3590, 0.1410, 0.5000], [0.3403, 0.8403, 0.0000], [0.8403, 0.6597, 0.0000], [0.6597, 0.1597, 0.0000], [0.1597, 0.3403, 0.0000], [0.0000, 0.0000, 0.0000], [0.5000, 0.5000, 0.0000]], "delta_e_f_mev_per_atom": 478, "crystal_system": "tetragonal", "mass_density_g_cm3": 11.08, "final_energy_ev_per_atom": -2.701, "polymorph_energy_mev_per_atom": 313, "space_group": "P4/mbm (127)"}

---

{"formula": "BeNiHg2", "functional": "PBE", "state": "optimized geometry", "cell": [[8.0448, -0.0226, -0.0134], [7.4537, 3.0268, -0.0134], [7.4537, 1.4448, 2.6598]], "species": ["Ni", "Hg", "Hg", "Be"], "fractional_positions": [[0.2500, 0.2500, 0.2500], [0.0037, 0.0037, 0.0037], [0.4963, 0.4963, 0.4963], [0.7500, 0.7500, 0.7500]], "delta_e_f_mev_per_atom": 453, "crystal_system": "trigonal", "mass_density_g_cm3": 11.88, "final_energy_ev_per_atom": -2.075, "space_group": "R-3m (166)"}

---

{"formula": "BeNi2Hg", "functional": "PBE", "state": "optimized geometry", "cell": [[2.0565, -0.9399, 3.5113], [2.5525, 2.8099, 1.7409], [-1.0605, 1.8384, 3.5968]], "species": ["Ni", "Ni", "Hg", "Be"], "fractional_positions": [[0.2500, 0.2500, 0.2500], [0.7500, 0.7500, 0.7500], [0.5000, 0.5000, 0.5000], [0.0000, 0.0000, 0.0000]], "delta_e_f_mev_per_atom": 169, "crystal_system": "cubic", "mass_density_g_cm3": 10.54, "final_energy_ev_per_atom": -3.729, "polymorph_energy_mev_per_atom": 207, "space_group": "Fm-3m (225)"}

---

{"formula": "BeNi2Hg", "functional": "PBE", "state": "optimized geometry", "cell": [[-1.0914, -2.3686, -2.0176], [1.2703, -1.8939, 1.5363], [-4.1314, -1.3953, 3.8731]], "species": ["Ni", "Ni", "Hg", "Be"], "fractional_positions": [[0.0000, 0.9115, 0.0439], [0.5000, 0.3001, 0.2903], [0.5000, 0.5421, 0.7508], [0.0000, 0.7463, 0.4149]], "delta_e_f_mev_per_atom": 105, "crystal_system": "monoclinic", "mass_density_g_cm3": 10.50, "final_energy_ev_per_atom": -3.793, "polymorph_energy_mev_per_atom": 142, "space_group": "Pm (6)"}

---

{"formula": "BeNi2Hg", "functional": "PBE", "state": "optimized geometry", "cell": [[-0.3665, -4.6026, 1.4064], [-1.3277, -3.1718, -3.3873], [3.3238, 3.3105, 1.1357]], "species": ["Ni", "Ni", "Hg", "Be"], "fractional_positions": [[0.9943, 0.9943, 0.0000], [0.7143, 0.2143, 0.5000], [0.2730, 0.7730, 0.5000], [0.5183, 0.5183, 0.0000]], "delta_e_f_mev_per_atom": 161, "crystal_system": "orthorhombic", "mass_density_g_cm3": 10.70, "final_energy_ev_per_atom": -3.737, "polymorph_energy_mev_per_atom": 199, "space_group": "Imm2 (44)"}

---

{"formula": "BeNiHg2", "functional": "PBE", "state": "optimized geometry", "cell": [[3.0060, 0.0000, 0.0000], [0.0000, 3.0060, 0.0000], [0.0000, 0.0000, 7.0379]], "species": ["Ni", "Hg", "Hg", "Be"], "fractional_positions": [[0.0000, 0.0000, 0.5680], [0.0000, 0.0000, 0.9506], [0.5000, 0.5000, 0.3026], [0.5000, 0.5000, 0.6788]], "delta_e_f_mev_per_atom": 144, "crystal_system": "tetragonal", "mass_density_g_cm3": 12.24, "final_energy_ev_per_atom": -2.384, "space_group": "P4mm (99)"}

---

{"formula": "BeNi2Hg", "functional": "PBE", "state": "optimized geometry", "cell": [[-2.5940, 2.1793, -2.6872], [-3.0995, -0.5233, -2.9696], [-3.9035, 0.4510, 2.6704]], "species": ["Ni", "Ni", "Hg", "Be"], "fractional_positions": [[0.9895, 0.9895, 0.0607], [0.2433, 0.2433, 0.2721], [0.7523, 0.7523, 0.7551], [0.5149, 0.5149, 0.4121]], "delta_e_f_mev_per_atom": 155, "crystal_system": "monoclinic", "mass_density_g_cm3": 10.30, "final_energy_ev_per_atom": -3.743, "polymorph_energy_mev_per_atom": 193, "space_group": "Cm (8)"}

---

{"formula": "Be4NiHg", "functional": "PBE", "state": "optimized geometry", "cell": [[0.0000, 3.1326, 3.1326], [3.1326, 0.0000, 3.1326], [3.1326, 3.1326, 0.0000]], "species": ["Be", "Be", "Be", "Be", "Ni", "Hg"], "fractional_positions": [[0.8805, 0.3732, 0.3732], [0.3732, 0.3732, 0.8805], [0.3732, 0.8805, 0.3732], [0.3732, 0.3732, 0.3732], [0.0000, 0.0000, 0.0000], [0.7500, 0.7500, 0.7500]], "delta_e_f_mev_per_atom": -8, "crystal_system": "cubic", "mass_density_g_cm3": 7.98, "final_energy_ev_per_atom": -3.506, "space_group": "F-43m (216)"}

---

{"formula": "BeNiHg2", "functional": "PBE", "state": "optimized geometry", "cell": [[5.2355, -0.0001, 0.0189], [4.3469, 2.9181, 0.0189], [1.3050, 0.3974, 4.2069]], "species": ["Ni", "Hg", "Hg", "Be"], "fractional_positions": [[0.5397, 0.5397, 0.4897], [0.9859, 0.9859, 0.0316], [0.7757, 0.7757, 0.6948], [0.1987, 0.1987, 0.2839]], "delta_e_f_mev_per_atom": 261, "crystal_system": "monoclinic", "mass_density_g_cm3": 12.13, "final_energy_ev_per_atom": -2.267, "space_group": "Cm (8)"}